Entry one
## TlAgP2 (PBE-GGA)

Data for an optimized crystal structure of TlAgP2.

Results
The symmetry is Cm.

a b c (Å): 4.412 4.412 7.245
angles (deg): 110.17 110.17 43.31
Element x y z (fractional)
Tl: 0.000 0.000 0.000
Ag: 0.180 0.180 0.693
P: 0.398 0.398 0.519
P: 0.837 0.837 0.302



Entry two
## TlAgP2 (PBE-GGA)

Data for an optimized crystal structure of TlAgP2.

Results
The symmetry is P2/m.

a b c (Å): 4.477 4.001 5.437
angles (deg): 90.00 101.55 90.00
Element x y z (fractional)
Tl: 0.000 0.000 0.000
Ag: 0.500 0.000 0.500
P: 0.216 0.500 0.627
P: 0.784 0.500 0.373



Entry three
## TlAgP2 (PBE-GGA)

Data for an optimized crystal structure of TlAgP2.

Results
The symmetry is C2/m.

a b c (Å): 5.685 5.685 2.971
angles (deg): 90.12 90.12 122.52
Element x y z (fractional)
Tl: 0.000 0.000 0.000
Ag: 0.500 0.500 0.000
P: 0.000 0.500 0.500
P: 0.500 0.000 0.500



Entry four
## TlAgP2 (PBE-GGA)

Data for an optimized crystal structure of TlAgP2.

Results
The symmetry is Cmm2.

a b c (Å): 3.224 3.224 9.942
angles (deg): 90.00 90.00 120.63
Element x y z (fractional)
Tl: 0.000 0.000 0.000
Ag: 0.500 0.500 0.728
P: 0.000 0.000 0.479
P: 0.500 0.500 0.331



Ranked by calculated energy, most stable first: entry two, entry one, entry four, entry three.



Entry one
## TlAgP2 (PBE-GGA)

Data for an optimized crystal structure of TlAgP2.

Results
The symmetry is C2/m.

a b c (Å): 5.676 5.676 5.813
angles (deg): 112.70 112.70 32.95
Element x y z (fractional)
Tl: 0.000 0.000 0.000
Ag: 0.500 0.500 0.500
P: 0.227 0.227 0.609
P: 0.773 0.773 0.391



Entry two
## TlAgP2 (PBE-GGA)

Data for an optimized crystal structure of TlAgP2.

Results
The symmetry is P4/mmm.

a b c (Å): 2.934 2.934 9.504
angles (deg): 90.00 90.00 90.00
Element x y z (fractional)
Tl: 0.000 0.000 0.000
Ag: 0.000 0.000 0.500
P: 0.500 0.500 0.297
P: 0.500 0.500 0.703



Entry three
## TlAgP2 (PBE-GGA)

Data for an optimized crystal structure of TlAgP2.

Results
The symmetry is Pmmm.

a b c (Å): 3.721 4.346 4.929
angles (deg): 90.00 90.00 90.00
Element x y z (fractional)
Tl: 0.000 0.000 0.000
Ag: 0.500 0.000 0.500
P: 0.000 0.500 0.500
P: 0.500 0.500 0.000



Entry four
## TlAgP2 (PBE-GGA)

Data for an optimized crystal structure of TlAgP2.

Results
The symmetry is Pm.

a b c (Å): 3.934 3.204 7.196
angles (deg): 90.00 103.70 90.00
Element x y z (fractional)
Tl: 0.000 0.000 0.000
Ag: 0.338 0.500 0.689
P: 0.635 0.500 0.301
P: 0.752 0.000 0.513



Ranked by calculated energy, most stable first: entry one, entry four, entry two, entry three.



Entry one
## TlAgP2 (PBE-GGA)

Data for an optimized crystal structure of TlAgP2.

Results
The symmetry is R3m.

a b c (Å): 8.635 8.635 8.635
angles (deg): 22.50 22.50 22.50
Element x y z (fractional)
Tl: 0.000 0.000 0.000
Ag: 0.236 0.236 0.236
P: 0.486 0.486 0.486
P: 0.771 0.771 0.771



Entry two
## TlAgP2 (PBE-GGA)

Data for an optimized crystal structure of TlAgP2.

Results
The symmetry is R-3m.

a b c (Å): 9.543 9.543 9.543
angles (deg): 19.15 19.15 19.15
Element x y z (fractional)
Tl: 0.000 0.000 0.000
Ag: 0.500 0.500 0.500
P: 0.236 0.236 0.236
P: 0.764 0.764 0.764



Ranked by calculated energy, most stable first: entry one, entry two.



Entry one
## TlAgP2 (PBE-GGA)

Data for an optimized crystal structure of TlAgP2.

Results
The symmetry is Imm2.

a b c (Å): 7.186 7.186 7.186
angles (deg): 154.05 147.13 42.35
Element x y z (fractional)
Tl: 0.000 0.000 0.000
Ag: 0.323 0.823 0.500
P: 0.636 0.636 0.000
P: 0.750 0.250 0.500



Entry two
## TlAgP2 (PBE-GGA)

Data for an optimized crystal structure of TlAgP2.

Results
The symmetry is P4/mmm.

a b c (Å): 3.623 3.623 6.764
angles (deg): 90.00 90.00 90.00
Element x y z (fractional)
Tl: 0.000 0.000 0.000
Ag: 0.000 0.000 0.500
P: 0.500 0.500 0.343
P: 0.500 0.500 0.657



Entry three
## TlAgP2 (PBE-GGA)

Data for an optimized crystal structure of TlAgP2.

Results
The symmetry is P4/mmm.

a b c (Å): 5.159 5.159 2.979
angles (deg): 90.00 90.00 90.00
Element x y z (fractional)
Tl: 0.000 0.000 0.000
Ag: 0.500 0.500 0.000
P: 0.000 0.500 0.500
P: 0.500 0.000 0.500



Ranked by calculated energy, most stable first: entry one, entry two, entry three.



Entry one
## VAgP2 (PBE-GGA)

Data for an optimized crystal structure of VAgP2.

Results
The symmetry is R-3m.

a b c (Å): 8.357 8.357 8.357
angles (deg): 20.82 20.82 20.82
Element x y z (fractional)
V: 0.000 0.000 0.000
Ag: 0.500 0.500 0.500
P: 0.400 0.400 0.400
P: 0.600 0.600 0.600



Entry two
## VAgP2 (PBE-GGA)

Data for an optimized crystal structure of VAgP2.

Results
The symmetry is I-42d.

a b c (Å): 6.671 6.671 6.671
angles (deg): 130.33 130.33 72.88
Element x y z (fractional)
V: 0.000 0.000 0.000
V: 0.750 0.250 0.500
Ag: 0.250 0.750 0.500
Ag: 0.500 0.500 0.000
P: 0.088 0.625 0.963
P: 0.375 0.338 0.463
P: 0.662 0.125 0.037
P: 0.875 0.912 0.537



Entry three
## VAgP2 (PBE-GGA)

Data for an optimized crystal structure of VAgP2.

Results
The symmetry is Fm-3m.

a b c (Å): 4.408 4.408 4.408
angles (deg): 60.00 60.00 60.00
Element x y z (fractional)
V: 0.000 0.000 0.000
Ag: 0.500 0.500 0.500
P: 0.250 0.250 0.250
P: 0.750 0.750 0.750



Ranked by calculated energy, most stable first: entry one, entry two, entry three.



Entry one
## VAgP3 (PBE-GGA)

Data for an optimized crystal structure of VAgP3.

Results
The symmetry is Pm-3m.

a b c (Å): 4.749 4.749 4.749
angles (deg): 90.00 90.00 90.00
Element x y z (fractional)
V: 0.000 0.000 0.000
Ag: 0.500 0.500 0.500
P: 0.000 0.500 0.500
P: 0.500 0.000 0.500
P: 0.500 0.500 0.000



Entry two
## VAgP3 (PBE-GGA)

Data for an optimized crystal structure of VAgP3.

Results
The symmetry is Pm-3m.

a b c (Å): 4.551 4.551 4.551
angles (deg): 90.00 90.00 90.00
Element x y z (fractional)
V: 0.000 0.000 0.000
Ag: 0.500 0.500 0.500
P: 0.000 0.000 0.500
P: 0.000 0.500 0.000
P: 0.500 0.000 0.000



Ranked by calculated energy, most stable first: entry two, entry one.



Entry one
## AgP3W (PBE-GGA)

Data for an optimized crystal structure of AgP3W.

Results
The symmetry is Pm-3m.

a b c (Å): 4.719 4.719 4.719
angles (deg): 90.00 90.00 90.00
Element x y z (fractional)
Ag: 0.000 0.000 0.000
P: 0.000 0.500 0.500
P: 0.500 0.000 0.500
P: 0.500 0.500 0.000
W: 0.500 0.500 0.500



Entry two
## AgP3W (PBE-GGA)

Data for an optimized crystal structure of AgP3W.

Results
The symmetry is Pm-3m.

a b c (Å): 4.621 4.621 4.621
angles (deg): 90.00 90.00 90.00
Element x y z (fractional)
Ag: 0.000 0.000 0.000
P: 0.000 0.000 0.500
P: 0.000 0.500 0.000
P: 0.500 0.000 0.000
W: 0.500 0.500 0.500



Ranked by calculated energy, most stable first: entry one, entry two.



Entry one
## Ag3PW (PBE-GGA)

Data for an optimized crystal structure of Ag3PW.

Results
The symmetry is Pm-3m.

a b c (Å): 5.054 5.054 5.054
angles (deg): 90.00 90.00 90.00
Element x y z (fractional)
Ag: 0.000 0.000 0.500
Ag: 0.000 0.500 0.000
Ag: 0.500 0.000 0.000
P: 0.500 0.500 0.500
W: 0.000 0.000 0.000



Entry two
## Ag3PW (PBE-GGA)

Data for an optimized crystal structure of Ag3PW.

Results
The symmetry is Pm-3m.

a b c (Å): 4.600 4.600 4.600
angles (deg): 90.00 90.00 90.00
Element x y z (fractional)
Ag: 0.000 0.000 0.500
Ag: 0.000 0.500 0.000
Ag: 0.500 0.000 0.000
P: 0.000 0.000 0.000
W: 0.500 0.500 0.500



Ranked by calculated energy, most stable first: entry two, entry one.



Entry one
## YAg3P (PBE-GGA)

Data for an optimized crystal structure of YAg3P.

Results
The symmetry is Pm-3m.

a b c (Å): 4.799 4.799 4.799
angles (deg): 90.00 90.00 90.00
Element x y z (fractional)
Y: 0.000 0.000 0.000
Ag: 0.000 0.500 0.500
Ag: 0.500 0.000 0.500
Ag: 0.500 0.500 0.000
P: 0.500 0.500 0.500



Entry two
## YAg3P (PBE-GGA)

Data for an optimized crystal structure of YAg3P.

Results
The symmetry is Pm-3m.

a b c (Å): 5.369 5.369 5.369
angles (deg): 90.00 90.00 90.00
Element x y z (fractional)
Y: 0.000 0.000 0.000
Ag: 0.000 0.000 0.500
Ag: 0.000 0.500 0.000
Ag: 0.500 0.000 0.000
P: 0.500 0.500 0.500



Ranked by calculated energy, most stable first: entry one, entry two.



Entry one
## ZnAg3P (PBE-GGA)

Data for an optimized crystal structure of ZnAg3P.

Results
The symmetry is Pm-3m.

a b c (Å): 4.837 4.837 4.837
angles (deg): 90.00 90.00 90.00
Element x y z (fractional)
Zn: 0.000 0.000 0.000
Ag: 0.000 0.500 0.500
Ag: 0.500 0.000 0.500
Ag: 0.500 0.500 0.000
P: 0.500 0.500 0.500



Entry two
## ZnAg3P (PBE-GGA)

Data for an optimized crystal structure of ZnAg3P.

Results
The symmetry is Pm-3m.

a b c (Å): 4.781 4.781 4.781
angles (deg): 90.00 90.00 90.00
Element x y z (fractional)
Zn: 0.000 0.000 0.000
Ag: 0.000 0.000 0.500
Ag: 0.000 0.500 0.000
Ag: 0.500 0.000 0.000
P: 0.500 0.500 0.500



Ranked by calculated energy, most stable first: entry one, entry two.



Entry one
## Pa3Ag (PBE-GGA)

Data for an optimized crystal structure of Pa3Ag.

Results
The symmetry is Pm-3m.

a b c (Å): 4.572 4.572 4.572
angles (deg): 90.00 90.00 90.00
Element x y z (fractional)
Pa: 0.000 0.000 0.500
Pa: 0.000 0.500 0.000
Pa: 0.500 0.000 0.000
Ag: 0.500 0.500 0.500



Entry two
## Pa3Ag (PBE-GGA)

Data for an optimized crystal structure of Pa3Ag.

Results
The symmetry is I4/mmm.

a b c (Å): 5.590 5.590 5.590
angles (deg): 131.96 131.96 70.29
Element x y z (fractional)
Pa: 0.000 0.000 0.000
Pa: 0.250 0.750 0.500
Pa: 0.750 0.250 0.500
Ag: 0.500 0.500 0.000



Ranked by calculated energy, most stable first: entry two, entry one.



Entry one
## Pa3Ag (PBE-GGA)

Data for an optimized crystal structure of Pa3Ag.

Results
The symmetry is Imm2.

a b c (Å): 6.314 6.314 6.314
angles (deg): 151.19 60.33 128.23
Element x y z (fractional)
Pa: 0.000 0.000 0.000
Pa: 0.482 0.714 0.768
Pa: 0.947 0.714 0.232
Ag: 0.489 0.989 0.500



Entry two
## Pa3Ag (PBE-GGA)

Data for an optimized crystal structure of Pa3Ag.

Results
The symmetry is P4/mmm.

a b c (Å): 5.425 5.425 3.202
angles (deg): 90.00 90.00 90.00
Element x y z (fractional)
Pa: 0.000 0.000 0.000
Pa: 0.000 0.500 0.500
Pa: 0.500 0.000 0.500
Ag: 0.500 0.500 0.000



Ranked by calculated energy, most stable first: entry two, entry one.